A relaxed structure of FeGe6Os. Source: Alexandria via LeMat-Bulk, functional PBE.

The structure in POSCAR format:
```
FeGe6Os
1.0
-1.806 2.510 -3.593
-5.077 -1.218 -1.396
-4.714 4.417 2.438
Fe Ge Os
1 6 1
Direct
0.000 0.000 0.000
0.949 0.456 0.713
0.638 0.017 0.800
0.684 0.244 0.240
0.362 0.983 0.200
0.051 0.544 0.287
0.316 0.756 0.760
0.500 0.500 0.500
```

Computed properties:
volume	17.9	Å³ per atom
SG	P-1
D(E_F)	0.24	states/eV/atom
E_tot	-5.777	eV/atom

A relaxed structure of LiCuTe2N. Source: Alexandria via LeMat-Bulk, functional PBE.

The structure in POSCAR format:
```
LiCuTe2N
1.0
5.146 0.000 0.000
0.000 5.146 0.000
0.000 0.000 3.403
Te Li Cu N
2 1 1 1
Direct
0.000 0.500 0.000
0.500 0.000 0.000
0.000 0.000 0.000
0.500 0.500 0.500
0.000 0.000 0.500
```

Computed properties:
volume	18.0	Å³ per atom
formation energy from raw total energies	893	meV/atom
SG	P4/mmm
D(E_F)	0.44	states/eV/atom
E_tot	-3.231	eV/atom

A relaxed structure of CrFeAs. Source: Alexandria via LeMat-Bulk, functional PBE.

The structure in POSCAR format:
```
CrFeAs
1.0
-1.405 -2.412 3.306
1.926 -3.851 0.423
0.842 4.241 -0.155
As Cr Fe
1 1 1
Direct
0.000 0.000 0.000
0.330 0.330 0.000
0.670 0.670 0.000
```

Computed properties:
volume	12.6	Å³ per atom
SG	Imm2
D(E_F)	1.14	states/eV/atom
E_tot	-7.416	eV/atom